SrCa2YHg4 PBE optimized geometry; E_form = -0.53 eV per atom; total magnetic moment = 0.0 μB per formula unit
1.0
-4.499 2.960 0.186
-2.318 1.083 4.743
2.606 8.720 2.344
Sr Ca Y Hg
1 2 1 4
direct
0.000 0.000 0.000 Sr
0.751 0.751 0.748 Ca
0.249 0.249 0.252 Ca
0.500 0.500 0.500 Y
0.379 0.379 0.862 Hg
0.871 0.871 0.386 Hg
0.129 0.129 0.614 Hg
0.621 0.621 0.138 Hg